[1]
A relaxed NdGeB crystal. Source: OQMD, functional PBE.

a b c (Å): 4.3417 4.3417 4.3417
angles (deg): 60.00 60.00 60.00
Sites, in units of the cell vectors:
Nd 0.0000 0.0000 0.0000
Ge 0.5000 0.5000 0.5000
B 0.7500 0.7500 0.7500

Properties
final energy = -0.1919 hartree per atom
space-group type = F-43m (216)
calculated volume = 57.87 Å³/cell

[2]
A relaxed Nd2GeB2O8 crystal. Source: OQMD, functional PBE.

a b c (Å): 13.7245 4.4682 9.4390
angles (deg): 90.00 90.00 90.00
Sites, in units of the cell vectors:
Nd 0.1404 0.0404 0.0249
Nd 0.1404 0.9596 0.5249
Nd 0.3596 0.4596 0.5249
Nd 0.3596 0.5404 0.0249
Nd 0.6404 0.4596 0.9751
Nd 0.6404 0.5404 0.4751
Nd 0.8596 0.0404 0.4751
Nd 0.8596 0.9596 0.9751
Ge 0.0000 0.4274 0.7500
Ge 0.0000 0.5726 0.2500
Ge 0.5000 0.0726 0.2500
Ge 0.5000 0.9274 0.7500
B 0.2002 0.4661 0.2957
B 0.2002 0.5339 0.7957
B 0.2998 0.0339 0.7957
B 0.2998 0.9661 0.2957
B 0.7002 0.0339 0.7043
B 0.7002 0.9661 0.2043
B 0.7998 0.4661 0.2043
B 0.7998 0.5339 0.7043
O 0.0042 0.2082 0.9012
O 0.0042 0.7918 0.4012
O 0.1066 0.3422 0.2339
O 0.1066 0.6578 0.7339
O 0.1920 0.4619 0.4477
O 0.1920 0.5381 0.9477
O 0.2179 0.2250 0.7397
O 0.2179 0.7750 0.2397
O 0.2821 0.2750 0.2397
O 0.2821 0.7250 0.7397
O 0.3080 0.0381 0.9477
O 0.3080 0.9619 0.4477
O 0.3934 0.1578 0.7339
O 0.3934 0.8422 0.2339
O 0.4958 0.2918 0.4012
O 0.4958 0.7082 0.9012
O 0.5042 0.2918 0.0988
O 0.5042 0.7082 0.5988
O 0.6066 0.1578 0.7661
O 0.6066 0.8422 0.2661
O 0.6920 0.0381 0.5523
O 0.6920 0.9619 0.0523
O 0.7179 0.2750 0.2603
O 0.7179 0.7250 0.7603
O 0.7821 0.2250 0.7603
O 0.7821 0.7750 0.2603
O 0.8080 0.4619 0.0523
O 0.8080 0.5381 0.5523
O 0.8934 0.3422 0.2661
O 0.8934 0.6578 0.7661
O 0.9958 0.2082 0.5988
O 0.9958 0.7918 0.0988

Properties
final energy = -0.2902 hartree per atom
space-group type = Pbcn (60)
calculated volume = 578.83 Å³/cell

[3]
A relaxed NiGeB4 crystal. Source: OQMD, functional PBE.

a b c (Å): 4.5250 4.5250 4.5250
angles (deg): 141.35 107.82 85.01
Sites, in units of the cell vectors:
Ni 0.0000 0.0000 0.0000
Ge 0.5000 0.5000 0.0000
B 0.0792 0.7430 0.3361
B 0.4069 0.7430 0.6639
B 0.5931 0.2570 0.3361
B 0.9208 0.2570 0.6639

Properties
final energy = -0.2121 hartree per atom
space-group type = Immm (71)
polymorph energy (0 for the lowest one) = 0.075 eV per atom
calculated volume = 53.26 Å³/cell

[4]
A relaxed Ni8Ge2B3 crystal. Source: OQMD, functional PBE.

a b c (Å): 2.9465 14.7249 6.0969
angles (deg): 90.00 90.00 90.00
Sites, in units of the cell vectors:
Ni 0.2500 0.0237 0.2006
Ni 0.2500 0.1045 0.6331
Ni 0.2500 0.2500 0.0759
Ni 0.2500 0.3955 0.6331
Ni 0.2500 0.4763 0.2006
Ni 0.2500 0.6633 0.6589
Ni 0.2500 0.7500 0.2983
Ni 0.2500 0.8367 0.6589
Ni 0.7500 0.1633 0.3411
Ni 0.7500 0.2500 0.7017
Ni 0.7500 0.3367 0.3411
Ni 0.7500 0.5237 0.7994
Ni 0.7500 0.6045 0.3669
Ni 0.7500 0.7500 0.9241
Ni 0.7500 0.8955 0.3669
Ni 0.7500 0.9763 0.7994
Ge 0.2500 0.6256 0.0377
Ge 0.2500 0.8744 0.0377
Ge 0.7500 0.1256 0.9623
Ge 0.7500 0.3744 0.9623
B 0.2500 0.2500 0.4560
B 0.2500 0.5322 0.5393
B 0.2500 0.9678 0.5393
B 0.7500 0.0322 0.4607
B 0.7500 0.4678 0.4607
B 0.7500 0.7500 0.5440

Properties
final energy = -0.2207 hartree per atom
space-group type = Pmmn (59)
calculated volume = 264.52 Å³/cell